Material: Ac2PmSi3Rh12
Method: DFT, PBE-GGA
State: optimized geometry

```
Ac2PmSi3Rh12
1.0
-5.3270 0.4999 4.2758
-4.7323 0.1211 -4.9499
-1.2448 -6.7322 0.1962
Ac Si Rh Pm
2 3 12 1
Cartesian
-4.1244 -2.2297 -0.1743
-7.1797 -3.8815 -0.3035
-2.6635 0.2500 2.1379
-0.6224 -3.3661 0.0981
-2.3661 0.0605 -2.4749
-4.8679 -5.9350 -0.0701
-4.6736 -0.8642 2.0164
-4.3811 -1.0506 -2.5215
-6.9230 -5.0606 2.0437
-8.6384 -1.6897 -0.4875
-2.6657 -4.4215 0.0097
-7.0934 -1.9922 2.1540
-6.7692 -2.1988 -2.8757
-6.4363 -0.1762 -0.4077
-6.6305 -5.2470 -2.4942
-4.2107 -4.1190 -2.6319
-4.5350 -3.9124 2.3978
0.0000 0.0000 0.0000
```

Results
Space group: R-3m (166)
Crystal system: trigonal
E_form (uncorrected) in eV per atom: -0.288
Calculated total energy in eV for the cell shown: -122.64